# 1
A plane-wave DFT calculation with PBE-GGA was carried out for a geometry-optimized La2TbSn3Pt4 structure.

Results
crystal system	tetragonal
ΔH_f (0 K)	-0.958	eV per atom

The structure in POSCAR format:
```
La2TbSn3Pt4
1.0
4.653 0.000 0.000
0.000 4.653 0.000
0.000 0.000 11.078
La Tb Sn Pt
2 1 3 4
Cartesian
0.000 2.327 2.463
2.327 0.000 8.616
0.000 0.000 5.539
0.000 2.327 9.714
2.327 0.000 1.364
2.327 2.327 5.539
0.000 0.000 0.000
0.000 2.327 7.106
2.327 0.000 3.972
2.327 2.327 0.000
```

=====

# 2
A plane-wave DFT calculation with PBE-GGA was carried out for a geometry-optimized La2TiSnPt6 structure.

Results
crystal system	triclinic
ΔH_f (0 K)	-0.775	eV per atom

The structure in POSCAR format:
```
La2TiSnPt6
1.0
5.761 0.000 0.000
2.876 5.003 0.000
2.821 1.687 8.229
La Ti Sn Pt
2 1 1 6
Cartesian
2.846 1.676 3.116
8.612 5.013 5.113
5.729 3.345 4.115
0.000 0.000 0.000
4.280 4.181 2.205
4.286 2.500 6.027
5.735 5.021 6.026
5.724 1.669 2.203
7.173 4.189 2.202
7.179 2.508 6.024
```

=====

# 3
A plane-wave DFT calculation with PBE-GGA was carried out for a geometry-optimized LaSnPtW2 structure.

Results
crystal system	tetragonal
ΔH_f (0 K)	1.059	eV per atom

The structure in POSCAR format:
```
LaSnPtW2
1.0
4.886 0.000 0.000
0.000 4.886 0.000
0.000 0.000 5.506
La Sn Pt W
1 1 1 2
Cartesian
0.000 0.000 0.000
2.443 2.443 0.000
0.000 0.000 2.753
0.000 2.443 2.753
2.443 0.000 2.753
```

=====

# 4
A plane-wave DFT calculation with PBE-GGA was carried out for a geometry-optimized La2ZnSn4Pt3 structure.

Results
crystal system	tetragonal
ΔH_f (0 K)	-0.820	eV per atom

The structure in POSCAR format:
```
La2ZnSn4Pt3
1.0
4.613 0.000 0.000
0.000 4.613 0.000
0.000 0.000 10.901
La Zn Sn Pt
2 1 4 3
Cartesian
0.000 2.306 2.646
2.306 0.000 8.254
2.306 2.306 0.000
0.000 0.000 5.450
0.000 2.306 9.468
2.306 0.000 1.433
2.306 2.306 5.450
0.000 0.000 0.000
0.000 2.306 6.844
2.306 0.000 4.057
```

=====

# 5
A plane-wave DFT calculation with PBE-GGA was carried out for a geometry-optimized La2Zn3SnPt4 structure.

Results
crystal system	tetragonal
ΔH_f (0 K)	-0.815	eV per atom

The structure in POSCAR format:
```
La2Zn3SnPt4
1.0
4.445 0.000 0.000
0.000 4.445 0.000
0.000 0.000 10.441
La Zn Sn Pt
2 3 1 4
Cartesian
0.000 2.223 2.428
2.223 0.000 8.013
0.000 2.223 9.170
2.223 0.000 1.271
2.223 2.223 5.221
0.000 0.000 5.221
0.000 0.000 0.000
0.000 2.223 6.681
2.223 0.000 3.760
2.223 2.223 0.000
```

=====

# 6
A plane-wave DFT calculation with PBE-GGA was carried out for a geometry-optimized La2ZnSnPt structure.

Results
crystal system	monoclinic
ΔH_f (0 K)	-0.836	eV per atom

The structure in POSCAR format:
```
La2ZnSnPt
1.0
7.498 0.000 0.000
0.000 4.606 0.000
-2.442 0.000 7.587
La Zn Sn Pt
4 2 2 2
Cartesian
0.170 1.151 2.552
-0.087 1.151 7.252
5.143 3.454 0.334
4.886 3.454 5.035
2.524 3.454 2.450
2.532 1.151 5.136
0.903 3.454 4.924
4.153 1.151 2.663
0.673 3.454 0.607
4.383 1.151 6.979
```

=====

# 7
A plane-wave DFT calculation with PBE-GGA was carried out for a geometry-optimized LaZnSnPt3 structure.

Results
crystal system	orthorhombic
ΔH_f (0 K)	-0.579	eV per atom

The structure in POSCAR format:
```
LaZnSnPt3
1.0
3.369 -6.273 0.000
3.369 6.273 0.000
0.000 0.000 5.982
La Zn Sn Pt
2 2 2 6
Cartesian
3.369 3.673 4.486
3.369 -3.673 1.495
3.369 0.617 4.486
3.369 -0.617 1.495
3.369 4.596 1.495
3.369 -4.596 4.486
1.453 0.000 0.000
1.453 0.000 2.991
3.369 2.016 1.495
3.369 -2.016 4.486
5.285 0.000 0.000
5.285 0.000 2.991
```

=====

# 8
A plane-wave DFT calculation with PBE-GGA was carried out for a geometry-optimized La2ZnSnPt6 structure.

Results
crystal system	trigonal
ΔH_f (0 K)	-0.759	eV per atom

The structure in POSCAR format:
```
La2ZnSnPt6
1.0
2.830 1.634 8.308
-2.830 1.634 8.308
0.000 -3.268 8.308
La Zn Sn Pt
2 1 1 6
Cartesian
0.000 0.000 5.117
0.000 0.000 19.807
0.000 0.000 12.462
0.000 0.000 0.000
-1.398 -0.807 14.465
0.000 -1.615 10.459
-1.398 0.807 10.459
1.398 -0.807 14.465
0.000 1.615 14.465
1.398 0.807 10.459
```

=====

Let's list D(E_F) in order: 7.19; 6.77; 5.00; 5.16; 7.32; 2.76; 2.77; 4.10 states/eV/f.u..